(1)
Below is a relaxed structure of Mg6AsPd5, with properties calculated at the PBE level.

Unit cell a=4.4712 b=6.5553 c=13.5989 alpha=90.00 beta=90.00 gamma=90.00
Space group Immm (No. 71)
Unique sites:
Mg  0.0000  0.2403  0.0000 (multiplicity 4)
Mg  0.0000  0.2543  0.3306 (multiplicity 8)
As  0.0000  0.0000  0.5000 (multiplicity 2)
Pd  0.0000  0.0000  0.1658 (multiplicity 4)
Pd  0.0000  0.5000  0.1686 (multiplicity 4)
Pd  0.0000  0.5000  0.5000 (multiplicity 2)

Computed properties:
Energy of formation in eV per formula unit: -7.954
Magnetic moment in μB/cell: 0.0


(2)
Below is a relaxed structure of GaGePt2, with properties calculated at the PBE level.

Unit cell a=7.8021 b=6.5931 c=5.4449 alpha=90.00 beta=90.00 gamma=90.00
Space group Pbcm (No. 57)
Unique sites:
Ga  0.1213  0.0919  0.2500 (multiplicity 4)
Ge  0.3734  0.5832  0.2500 (multiplicity 4)
Pt  0.1315  0.7500  0.0000 (multiplicity 4)
Pt  0.3786  0.2500  0.0000 (multiplicity 4)

Computed properties:
Energy of formation in eV per formula unit: -2.280
Magnetic moment in μB/cell: 0.0


(3)
Below is a relaxed structure of MoPdBr2, with properties calculated at the PBE level.

Unit cell a=5.7520 b=5.7520 c=12.1285 alpha=90.00 beta=90.00 gamma=90.00
Space group I-42d (No. 122)
Unique sites:
Mo  0.0000  0.0000  0.0000 (multiplicity 4)
Pd  0.0000  0.0000  0.5000 (multiplicity 4)
Br  0.2324  0.2500  0.1250 (multiplicity 8)

Computed properties:
Energy relative to the elements, uncorrected in kJ/mol of atoms: 62.9
Magnetic moment in μB/cell: 0.0


(4)
Below is a relaxed structure of Zn2CuH4, with properties calculated at the PBE level.

Unit cell a=3.7084 b=3.7084 c=9.6479 alpha=90.00 beta=90.00 gamma=90.00
Space group I4/mmm (No. 139)
Unique sites:
Zn  0.0000  0.0000  0.1307 (multiplicity 4)
Cu  0.0000  0.0000  0.5000 (multiplicity 2)
H  0.0000  0.0000  0.3020 (multiplicity 4)
H  0.0000  0.5000  0.0000 (multiplicity 4)

Computed properties:
Raw total energy in eV/cell: -34.303
Magnetic moment in μB/cell: 0.0


(5)
Below is a relaxed structure of CsScTe2, with properties calculated at the PBE level.

Unit cell a=7.5474 b=4.3623 c=9.2396 alpha=90.00 beta=105.81 gamma=90.00
Space group Cm (No. 8)
Unique sites:
Cs  0.0000  0.0000  0.0000 (multiplicity 2)
Sc  0.3331  0.5000  0.4956 (multiplicity 2)
Te  0.2267  0.0000  0.6766 (multiplicity 2)
Te  0.4396  0.0000  0.3160 (multiplicity 2)

Computed properties:
Energy relative to the elements, uncorrected in kJ/mol of atoms: -118.5
Magnetic moment in μB/cell: 0.0


(6)
Below is a relaxed structure of Be2AlP, with properties calculated at the PBE level.

Unit cell a=3.3284 b=3.8705 c=7.3872 alpha=90.00 beta=90.00 gamma=90.00
Space group Immm (No. 71)
Unique sites:
Be  0.0000  0.0000  0.2352 (multiplicity 4)
Al  0.0000  0.5000  0.0000 (multiplicity 2)
P  0.0000  0.5000  0.5000 (multiplicity 2)

Computed properties:
Energy of formation in eV per formula unit: 1.300
Magnetic moment in μB/cell: 0.0